Record 1
The following is a DFT calculation (PBE) of an optimized crystal structure of CsBaCa2Hg.

Properties
Space group ... P4/mmm (123)
Calculated formation energy ... -0.08 eV/atom
M_tot ... 0.01 Bohr magnetons per cell

Cell: 6.260 6.260 6.665 Å, 90.00 90.00 90.00°
Element x y z (fractional)
Cs: 0.000 0.000 0.000
Ba: 0.500 0.500 0.000
Ca: 0.000 0.500 0.500
Ca: 0.500 0.000 0.500
Hg: 0.500 0.500 0.500

***

Record 2
The following is a DFT calculation (PBE) of an optimized crystal structure of CsBa2CaHg.

Properties
Space group ... P4/mmm (123)
Calculated formation energy ... -0.10 eV/atom
M_tot ... 0.09 Bohr magnetons per cell

Cell: 6.819 6.819 6.284 Å, 90.00 90.00 90.00°
Element x y z (fractional)
Cs: 0.000 0.000 0.000
Ba: 0.000 0.500 0.500
Ba: 0.500 0.000 0.500
Ca: 0.500 0.500 0.000
Hg: 0.500 0.500 0.500

***

Record 3
The following is a DFT calculation (PBE) of an optimized crystal structure of CsBa2CaIr.

Properties
Space group ... P4/mmm (123)
Calculated formation energy ... -0.01 eV/atom
M_tot ... 0.92 Bohr magnetons per cell

Cell: 6.341 6.341 5.846 Å, 90.00 90.00 90.00°
Element x y z (fractional)
Cs: 0.000 0.000 0.000
Ba: 0.000 0.500 0.500
Ba: 0.500 0.000 0.500
Ca: 0.500 0.500 0.000
Ir: 0.500 0.500 0.500

***

Record 4
The following is a DFT calculation (PBE) of an optimized crystal structure of CsBa2LiCa.

Properties
Space group ... P4/mmm (123)
Calculated formation energy ... 0.20 eV/atom
M_tot ... 0.00 Bohr magnetons per cell

Cell: 6.853 6.853 6.522 Å, 90.00 90.00 90.00°
Element x y z (fractional)
Cs: 0.000 0.000 0.000
Ba: 0.000 0.500 0.500
Ba: 0.500 0.000 0.500
Li: 0.500 0.500 0.500
Ca: 0.500 0.500 0.000

***

Record 5
The following is a DFT calculation (PBE) of an optimized crystal structure of CsBaCa2Ni.

Properties
Space group ... P4/mmm (123)
Calculated formation energy ... 0.10 eV/atom
M_tot ... 0.00 Bohr magnetons per cell

Cell: 5.884 5.884 6.254 Å, 90.00 90.00 90.00°
Element x y z (fractional)
Cs: 0.000 0.000 0.000
Ba: 0.500 0.500 0.000
Ca: 0.000 0.500 0.500
Ca: 0.500 0.000 0.500
Ni: 0.500 0.500 0.500

***

Record 6
The following is a DFT calculation (PBE) of an optimized crystal structure of CsBaCa2P.

Properties
Space group ... P4/mmm (123)
Calculated formation energy ... -0.31 eV/atom
M_tot ... 0.00 Bohr magnetons per cell

Cell: 5.868 5.868 6.556 Å, 90.00 90.00 90.00°
Element x y z (fractional)
Cs: 0.000 0.000 0.000
Ba: 0.500 0.500 0.000
Ca: 0.000 0.500 0.500
Ca: 0.500 0.000 0.500
P: 0.500 0.500 0.500

***

Record 7
The following is a DFT calculation (PBE) of an optimized crystal structure of CsBa2CaPd.

Properties
Space group ... P4/mmm (123)
Calculated formation energy ... -0.18 eV/atom
M_tot ... 0.00 Bohr magnetons per cell

Cell: 6.486 6.486 6.019 Å, 90.00 90.00 90.00°
Element x y z (fractional)
Cs: 0.000 0.000 0.000
Ba: 0.000 0.500 0.500
Ba: 0.500 0.000 0.500
Ca: 0.500 0.500 0.000
Pd: 0.500 0.500 0.500

***

Record 8
The following is a DFT calculation (PBE) of an optimized crystal structure of CsBaCa2Pd.

Properties
Space group ... P4/mmm (123)
Calculated formation energy ... -0.18 eV/atom
M_tot ... 0.00 Bohr magnetons per cell

Cell: 5.965 5.965 6.382 Å, 90.00 90.00 90.00°
Element x y z (fractional)
Cs: 0.000 0.000 0.000
Ba: 0.500 0.500 0.000
Ca: 0.000 0.500 0.500
Ca: 0.500 0.000 0.500
Pd: 0.500 0.500 0.500

***

Record 9
The following is a DFT calculation (PBE) of an optimized crystal structure of CsBaCa2Pd.

Properties
Space group ... P4/mmm (123)
Calculated formation energy ... -0.03 eV/atom
M_tot ... 0.00 Bohr magnetons per cell

Cell: 5.827 5.827 6.760 Å, 90.00 90.00 90.00°
Element x y z (fractional)
Cs: 0.000 0.000 0.000
Ba: 0.500 0.500 0.000
Ca: 0.000 0.500 0.500
Ca: 0.500 0.000 0.500
Pd: 0.000 0.000 0.500

***

Record 10
The following is a DFT calculation (PBE) of an optimized crystal structure of CsBa2CaPt.

Properties
Space group ... P4/mmm (123)
Calculated formation energy ... -0.32 eV/atom
M_tot ... 0.00 Bohr magnetons per cell

Cell: 6.442 6.442 5.931 Å, 90.00 90.00 90.00°
Element x y z (fractional)
Cs: 0.000 0.000 0.000
Ba: 0.000 0.500 0.500
Ba: 0.500 0.000 0.500
Ca: 0.500 0.500 0.000
Pt: 0.500 0.500 0.500

***

Record 11
The following is a DFT calculation (PBE) of an optimized crystal structure of CsBaCa2Pt.

Properties
Space group ... P4/mmm (123)
Calculated formation energy ... -0.33 eV/atom
M_tot ... 0.00 Bohr magnetons per cell

Cell: 5.898 5.898 6.360 Å, 90.00 90.00 90.00°
Element x y z (fractional)
Cs: 0.000 0.000 0.000
Ba: 0.500 0.500 0.000
Ca: 0.000 0.500 0.500
Ca: 0.500 0.000 0.500
Pt: 0.500 0.500 0.500

***

Record 12
The following is a DFT calculation (PBE) of an optimized crystal structure of CsBaSrCa.

Properties
Space group ... F-43m (216)
Calculated formation energy ... 0.18 eV/atom
M_tot ... 0.00 Bohr magnetons per cell

Cell: 6.996 6.996 6.996 Å, 60.00 60.00 60.00°
Element x y z (fractional)
Cs: 0.000 0.000 0.000
Ba: 0.250 0.250 0.250
Sr: 0.750 0.750 0.750
Ca: 0.500 0.500 0.500

***

Record 13
The following is a DFT calculation (PBE) of an optimized crystal structure of CsBaCa2Zn.

Properties
Space group ... P4/mmm (123)
Calculated formation energy ... 0.07 eV/atom
M_tot ... 0.00 Bohr magnetons per cell

Cell: 6.184 6.184 6.554 Å, 90.00 90.00 90.00°
Element x y z (fractional)
Cs: 0.000 0.000 0.000
Ba: 0.500 0.500 0.000
Ca: 0.000 0.500 0.500
Ca: 0.500 0.000 0.500
Zn: 0.500 0.500 0.500

***

Record 14
The following is a DFT calculation (PBE) of an optimized crystal structure of BaCa2Cu.

Properties
Space group ... P2_1/m (11)
Calculated formation energy ... -0.02 eV/atom
M_tot ... 0.00 Bohr magnetons per cell

Cell: 4.379 10.071 7.071 Å, 90.00 107.94 90.00°
Element x y z (fractional)
Ba: 0.072 0.250 0.145
Ba: 0.928 0.750 0.855
Ca: 0.348 0.067 0.696
Ca: 0.348 0.433 0.696
Ca: 0.652 0.567 0.304
Ca: 0.652 0.933 0.304
Cu: 0.240 0.750 0.477
Cu: 0.760 0.250 0.523

***

Record 15
The following is a DFT calculation (PBE) of an optimized crystal structure of BaCa2Cu.

Properties
Space group ... P2/m (10)
Calculated formation energy ... 0.05 eV/atom
M_tot ... 0.00 Bohr magnetons per cell

Cell: 6.485 4.309 6.759 Å, 90.00 118.49 90.00°
Element x y z (fractional)
Ba: 0.000 0.000 0.000
Ca: 0.336 0.500 0.673
Ca: 0.664 0.500 0.327
Cu: 0.500 0.000 0.000

***

Record 16
The following is a DFT calculation (PBE) of an optimized crystal structure of BaCaCu.

Properties
Space group ... I4mm (107)
Calculated formation energy ... 0.01 eV/atom
M_tot ... 0.00 Bohr magnetons per cell

Cell: 7.455 7.455 7.455 Å, 150.16 150.16 42.71°
Element x y z (fractional)
Ba: 0.000 0.000 0.000
Ca: 0.741 0.741 0.000
Cu: 0.351 0.351 0.000

***

Record 17
The following is a DFT calculation (PBE) of an optimized crystal structure of Ba2CaCu.

Properties
Space group ... I-42d (122)
Calculated formation energy ... 0.16 eV/atom
M_tot ... 0.00 Bohr magnetons per cell

Cell: 8.416 8.416 8.416 Å, 97.35 97.35 138.07°
Element x y z (fractional)
Ba: 0.375 0.249 0.374
Ba: 0.751 0.125 0.126
Ba: 0.875 0.001 0.626
Ba: 0.999 0.625 0.874
Ca: 0.250 0.750 0.500
Ca: 0.500 0.500 0.000
Cu: 0.000 0.000 0.000
Cu: 0.750 0.250 0.500

***

Record 18
The following is a DFT calculation (PBE) of an optimized crystal structure of BaCa2Cu.

Properties
Space group ... C2/m (12)
Calculated formation energy ... 0.29 eV/atom
M_tot ... 0.00 Bohr magnetons per cell

Cell: 7.189 7.189 3.846 Å, 103.83 103.83 121.13°
Element x y z (fractional)
Ba: 0.000 0.000 0.000
Ca: 0.000 0.500 0.500
Ca: 0.500 0.000 0.500
Cu: 0.500 0.500 0.000

***

Record 19
The following is a DFT calculation (PBE) of an optimized crystal structure of BaCa2Cu.

Properties
Space group ... R-3m (166)
Calculated formation energy ... 0.03 eV/atom
M_tot ... 0.00 Bohr magnetons per cell

Cell: 10.469 10.469 10.469 Å, 23.41 23.41 23.41°
Element x y z (fractional)
Ba: 0.000 0.000 0.000
Ca: 0.219 0.219 0.219
Ca: 0.781 0.781 0.781
Cu: 0.500 0.500 0.500

***

Record 20
The following is a DFT calculation (PBE) of an optimized crystal structure of Ba2CaCu.

Properties
Space group ... Imm2 (44)
Calculated formation energy ... 0.06 eV/atom
M_tot ... 0.00 Bohr magnetons per cell

Cell: 7.527 7.527 7.527 Å, 148.89 130.88 59.29°
Element x y z (fractional)
Ba: 0.000 0.000 0.000
Ba: 0.685 0.185 0.500
Ca: 0.319 0.819 0.500
Cu: 0.487 0.487 0.000

***

Record 21
The following is a DFT calculation (PBE) of an optimized crystal structure of Ba2Ca4Cu.

Properties
Space group ... I4/mmm (139)
Calculated formation energy ... 0.09 eV/atom
M_tot ... 0.00 Bohr magnetons per cell

Cell: 11.298 11.298 11.298 Å, 150.98 150.98 41.50°
Element x y z (fractional)
Ba: 0.174 0.174 0.000
Ba: 0.826 0.826 0.000
Ca: 0.000 0.500 0.500
Ca: 0.368 0.368 0.000
Ca: 0.500 0.000 0.500
Ca: 0.632 0.632 0.000
Cu: 0.500 0.500 0.000

***

Record 22
The following is a DFT calculation (PBE) of an optimized crystal structure of BaCa2Cu.

Properties
Space group ... F-43m (216)
Calculated formation energy ... 0.24 eV/atom
M_tot ... 0.00 Bohr magnetons per cell

Cell: 5.846 5.846 5.846 Å, 60.00 60.00 60.00°
Element x y z (fractional)
Ba: 0.000 0.000 0.000
Ca: 0.500 0.500 0.500
Ca: 0.750 0.750 0.750
Cu: 0.250 0.250 0.250

***

Record 23
The following is a DFT calculation (PBE) of an optimized crystal structure of BaCa2Cu.

Properties
Space group ... R3m (160)
Calculated formation energy ... 0.08 eV/atom
M_tot ... 0.00 Bohr magnetons per cell

Cell: 10.666 10.666 10.666 Å, 22.87 22.87 22.87°
Element x y z (fractional)
Ba: 0.000 0.000 0.000
Ca: 0.218 0.218 0.218
Ca: 0.451 0.451 0.451
Cu: 0.732 0.732 0.732

***

Record 24
The following is a DFT calculation (PBE) of an optimized crystal structure of BaCa2Cu.

Properties
Space group ... I4/mmm (139)
Calculated formation energy ... 0.25 eV/atom
M_tot ... 0.00 Bohr magnetons per cell

Cell: 7.029 7.029 7.029 Å, 138.92 138.92 59.50°
Element x y z (fractional)
Ba: 0.000 0.000 0.000
Ca: 0.250 0.750 0.500
Ca: 0.750 0.250 0.500
Cu: 0.500 0.500 0.000

***

Record 25
The following is a DFT calculation (PBE) of an optimized crystal structure of Ba2CaCu.

Properties
Space group ... I-4m2 (119)
Calculated formation energy ... 0.27 eV/atom
M_tot ... 0.00 Bohr magnetons per cell

Cell: 7.165 7.165 7.165 Å, 138.04 138.04 60.84°
Element x y z (fractional)
Ba: 0.000 0.000 0.000
Ba: 0.750 0.250 0.500
Ca: 0.250 0.750 0.500
Cu: 0.500 0.500 0.000

***

Record 26
The following is a DFT calculation (PBE) of an optimized crystal structure of BaCaCu4.

Properties
Space group ... F-43m (216)
Calculated formation energy ... 0.07 eV/atom
M_tot ... 0.00 Bohr magnetons per cell

Cell: 5.532 5.532 5.532 Å, 60.00 60.00 60.00°
Element x y z (fractional)
Ba: 0.000 0.000 0.000
Ca: 0.750 0.750 0.750
Cu: 0.381 0.381 0.381
Cu: 0.381 0.381 0.856
Cu: 0.381 0.856 0.381
Cu: 0.856 0.381 0.381

***

Record 27
The following is a DFT calculation (PBE) of an optimized crystal structure of BaCaCu.

Properties
Space group ... F-43m (216)
Calculated formation energy ... 0.68 eV/atom
M_tot ... 0.00 Bohr magnetons per cell

Cell: 5.467 5.467 5.467 Å, 60.00 60.00 60.00°
Element x y z (fractional)
Ba: 0.000 0.000 0.000
Ca: 0.250 0.250 0.250
Cu: 0.750 0.750 0.750

***

Record 28
The following is a DFT calculation (PBE) of an optimized crystal structure of Ba2CaCu.

Properties
Space group ... P4/mmm (123)
Calculated formation energy ... 0.23 eV/atom
M_tot ... 0.00 Bohr magnetons per cell

Cell: 6.072 6.072 4.516 Å, 90.00 90.00 90.00°
Element x y z (fractional)
Ba: 0.000 0.500 0.000
Ba: 0.500 0.000 0.000
Ca: 0.000 0.000 0.500
Cu: 0.500 0.500 0.500

***

Record 29
The following is a DFT calculation (PBE) of an optimized crystal structure of BaCa2Cu.

Properties
Space group ... P4mm (99)
Calculated formation energy ... 0.02 eV/atom
M_tot ... 0.00 Bohr magnetons per cell

Cell: 3.876 3.876 9.581 Å, 90.00 90.00 90.00°
Element x y z (fractional)
Ba: 0.000 0.000 0.000
Ca: 0.000 0.000 0.629
Ca: 0.500 0.500 0.340
Cu: 0.500 0.500 0.783